(a)
Here is AgBr2Cl at its PBEsol-relaxed geometry from Alexandria via LeMat-Bulk. Energies are from SCAN.

Computed properties:
As for the space group: F-43m, No. 216.

POSCAR file:
```
AgBr2Cl
1.0
7.0412 0.0000 0.0000
0.0000 7.0412 0.0000
0.0000 0.0000 7.0412
Ag Br Cl
4 8 4
direct
0.0000 0.0000 0.0000
0.0000 0.5000 0.5000
0.5000 0.0000 0.5000
0.5000 0.5000 0.0000
0.0000 0.0000 0.5000
0.0000 0.5000 0.0000
0.2500 0.2500 0.2500
0.2500 0.7500 0.7500
0.5000 0.0000 0.0000
0.5000 0.5000 0.5000
0.7500 0.2500 0.7500
0.7500 0.7500 0.2500
0.2500 0.2500 0.7500
0.2500 0.7500 0.2500
0.7500 0.2500 0.2500
0.7500 0.7500 0.7500
```



(b)
Here is AgBr2Cl at its PBEsol-relaxed geometry from Alexandria via LeMat-Bulk. Energies are from SCAN.

Computed properties:
As for the space group: Cmm2, No. 35.

POSCAR file:
```
AgBr2Cl
1.0
3.6952 0.0000 0.0000
0.0000 7.0510 0.0000
0.0000 0.0000 8.0568
Ag Br Cl
2 4 2
direct
0.0000 0.0000 0.0000
0.5000 0.5000 0.0000
0.0000 0.0000 0.4888
0.0000 0.5000 0.2177
0.5000 0.0000 0.2177
0.5000 0.5000 0.4888
0.0000 0.5000 0.8069
0.5000 0.0000 0.8069
```



(c)
Here is AgBr2Cl at its PBEsol-relaxed geometry from Alexandria via LeMat-Bulk. Energies are from SCAN.

Computed properties:
As for the space group: R-3m, No. 166.

POSCAR file:
```
AgBr2Cl
1.0
4.1420 0.0000 0.0000
-2.0710 3.5870 0.0000
0.0000 0.0000 23.2399
Ag Br Cl
3 6 3
direct
0.0000 0.0000 0.0000
0.3333 0.6667 0.6667
0.6667 0.3333 0.3333
0.0000 0.0000 0.3948
0.0000 0.0000 0.6052
0.3333 0.6667 0.0615
0.3333 0.6667 0.2718
0.6667 0.3333 0.7282
0.6667 0.3333 0.9385
0.0000 0.0000 0.5000
0.3333 0.6667 0.1667
0.6667 0.3333 0.8333
```



(d)
Here is AgBr2Cl at its PBEsol-relaxed geometry from Alexandria via LeMat-Bulk. Energies are from SCAN.

Computed properties:
As for the space group: Cm, No. 8.

POSCAR file:
```
AgBr2Cl
1.0
7.0758 0.0000 0.0000
0.0000 3.9840 0.0000
-0.3681 0.0000 7.4031
Ag Br Cl
2 4 2
direct
0.0000 0.0000 0.0000
0.5000 0.5000 0.0000
0.0028 0.5000 0.5182
0.3404 0.0000 0.2152
0.5028 0.0000 0.5182
0.8404 0.5000 0.2152
0.1610 0.5000 0.8333
0.6610 0.0000 0.8333
```



Most stable structure: (d)



(a)
Here is AgBrCl2 at its PBEsol-relaxed geometry from Alexandria via LeMat-Bulk. Energies are from SCAN.

Computed properties:
As for the space group: P2/m, No. 10.

POSCAR file:
```
AgBrCl2
1.0
5.2375 0.0000 0.0000
0.0000 3.5440 0.0000
-0.9734 0.0000 5.1664
Ag Br Cl
1 1 2
direct
0.0000 0.0000 0.0000
0.5000 0.0000 0.5000
0.2005 0.5000 0.7987
0.7995 0.5000 0.2013
```



(b)
Here is AgBrCl2 at its PBEsol-relaxed geometry from Alexandria via LeMat-Bulk. Energies are from SCAN.

Computed properties:
As for the space group: Cmm2, No. 35.

POSCAR file:
```
AgBrCl2
1.0
3.6607 0.0000 0.0000
0.0000 7.0548 0.0000
0.0000 0.0000 7.8749
Ag Br Cl
2 2 4
direct
0.0000 0.0000 0.0000
0.5000 0.5000 0.0000
0.0000 0.5000 0.2214
0.5000 0.0000 0.2214
0.0000 0.0000 0.4746
0.0000 0.5000 0.8041
0.5000 0.0000 0.8041
0.5000 0.5000 0.4746
```



Most stable structure: (a)



(a)
Here is Co2AgBr at its PBEsol-relaxed geometry from Alexandria via LeMat-Bulk. Energies are from SCAN.

Computed properties:
As for the space group: R-3m, No. 166.

POSCAR file:
```
Co2AgBr
1.0
2.9451 0.0000 0.0000
-1.4726 2.5506 0.0000
0.0000 0.0000 23.2987
Co Ag Br
6 3 3
direct
0.0000 0.0000 0.2456
0.0000 0.0000 0.7544
0.3333 0.6667 0.4211
0.3333 0.6667 0.9122
0.6667 0.3333 0.0878
0.6667 0.3333 0.5789
0.0000 0.0000 0.0000
0.3333 0.6667 0.6667
0.6667 0.3333 0.3333
0.0000 0.0000 0.5000
0.3333 0.6667 0.1667
0.6667 0.3333 0.8333
```



(b)
Here is Co2AgBr at its PBEsol-relaxed geometry from Alexandria via LeMat-Bulk. Energies are from SCAN.

Computed properties:
As for the space group: I-42d, No. 122.

POSCAR file:
```
Co2AgBr
1.0
6.6836 0.0000 0.0000
0.0000 6.6836 0.0000
0.0000 0.0000 5.4299
Co Ag Br
8 4 4
direct
0.2132 0.2500 0.1250
0.2500 0.7132 0.3750
0.2500 0.7868 0.8750
0.2868 0.2500 0.6250
0.7132 0.7500 0.6250
0.7500 0.2132 0.8750
0.7500 0.2868 0.3750
0.7868 0.7500 0.1250
0.0000 0.0000 0.5000
0.0000 0.5000 0.7500
0.5000 0.0000 0.2500
0.5000 0.5000 0.0000
0.0000 0.0000 0.0000
0.0000 0.5000 0.2500
0.5000 0.0000 0.7500
0.5000 0.5000 0.5000
```



Most stable structure: (a)



(a)
Here is Co2AgBr at its PBEsol-relaxed geometry from Alexandria via LeMat-Bulk. Energies are from SCAN.

Computed properties:
As for the space group: P4/mmm, No. 123.

POSCAR file:
```
Co2AgBr
1.0
4.3108 0.0000 0.0000
0.0000 4.3108 0.0000
0.0000 0.0000 3.0612
Co Ag Br
2 1 1
direct
0.0000 0.5000 0.0000
0.5000 0.0000 0.0000
0.0000 0.0000 0.5000
0.5000 0.5000 0.5000
```



(b)
Here is Co2AgBr at its PBEsol-relaxed geometry from Alexandria via LeMat-Bulk. Energies are from SCAN.

Computed properties:
As for the space group: C2/m, No. 12.

POSCAR file:
```
Co2AgBr
1.0
7.5732 0.0000 0.0000
0.0000 2.9509 0.0000
-1.0287 0.0000 5.2604
Co Ag Br
4 2 2
direct
0.2476 0.0000 0.2101
0.2524 0.5000 0.7899
0.7476 0.5000 0.2101
0.7524 0.0000 0.7899
0.0000 0.0000 0.5000
0.5000 0.5000 0.5000
0.0000 0.5000 0.0000
0.5000 0.0000 0.0000
```



Most stable structure: (a)



(a)
Here is Cu2AgBr at its PBEsol-relaxed geometry from Alexandria via LeMat-Bulk. Energies are from SCAN.

Computed properties:
As for the space group: R-3m, No. 166.

POSCAR file:
```
Cu2AgBr
1.0
3.2865 0.0000 0.0000
-1.6433 2.8462 0.0000
0.0000 0.0000 21.3289
Cu Ag Br
6 3 3
direct
0.0000 0.0000 0.2504
0.0000 0.0000 0.7496
0.3333 0.6667 0.4162
0.3333 0.6667 0.9171
0.6667 0.3333 0.0829
0.6667 0.3333 0.5838
0.0000 0.0000 0.0000
0.3333 0.6667 0.6667
0.6667 0.3333 0.3333
0.0000 0.0000 0.5000
0.3333 0.6667 0.1667
0.6667 0.3333 0.8333
```



(b)
Here is Cu2AgBr at its PBEsol-relaxed geometry from Alexandria via LeMat-Bulk. Energies are from SCAN.

Computed properties:
As for the space group: Pmmm, No. 47.

POSCAR file:
```
Cu2AgBr
1.0
3.4695 0.0000 0.0000
0.0000 4.2346 0.0000
0.0000 0.0000 4.2476
Cu Ag Br
2 1 1
direct
0.0000 0.0000 0.0000
0.0000 0.5000 0.5000
0.5000 0.0000 0.5000
0.5000 0.5000 0.0000
```



(c)
Here is Cu2AgBr at its PBEsol-relaxed geometry from Alexandria via LeMat-Bulk. Energies are from SCAN.

Computed properties:
As for the space group: R3m, No. 160.

POSCAR file:
```
Cu2AgBr
1.0
3.7090 0.0000 0.0000
-1.8545 3.2121 0.0000
0.0000 0.0000 17.7561
Cu Ag Br
6 3 3
direct
0.0000 0.0000 0.0000
0.0000 0.0000 0.2764
0.3333 0.6667 0.6667
0.3333 0.6667 0.9431
0.6667 0.3333 0.3333
0.6667 0.3333 0.6097
0.0000 0.0000 0.7385
0.3333 0.6667 0.4051
0.6667 0.3333 0.0718
0.0000 0.0000 0.5242
0.3333 0.6667 0.1909
0.6667 0.3333 0.8575
```



Most stable structure: (c)



(a)
Here is Ag2BrF at its PBEsol-relaxed geometry from Alexandria via LeMat-Bulk. Energies are from SCAN.

Computed properties:
As for the space group: Fm-3m, No. 225.

POSCAR file:
```
Ag2BrF
1.0
6.4311 0.0000 0.0000
0.0000 6.4311 0.0000
0.0000 0.0000 6.4311
Ag Br F
8 4 4
direct
0.2500 0.2500 0.2500
0.2500 0.2500 0.7500
0.2500 0.7500 0.2500
0.2500 0.7500 0.7500
0.7500 0.2500 0.2500
0.7500 0.2500 0.7500
0.7500 0.7500 0.2500
0.7500 0.7500 0.7500
0.0000 0.0000 0.0000
0.0000 0.5000 0.5000
0.5000 0.0000 0.5000
0.5000 0.5000 0.0000
0.0000 0.0000 0.5000
0.0000 0.5000 0.0000
0.5000 0.0000 0.0000
0.5000 0.5000 0.5000
```



(b)
Here is Ag2BrF at its PBEsol-relaxed geometry from Alexandria via LeMat-Bulk. Energies are from SCAN.

Computed properties:
As for the space group: I-42d, No. 122.

POSCAR file:
```
Ag2BrF
1.0
4.8651 0.0000 0.0000
0.0000 4.8651 0.0000
0.0000 0.0000 14.1022
Ag Br F
8 4 4
direct
0.1756 0.2500 0.1250
0.2500 0.6756 0.3750
0.2500 0.8244 0.8750
0.3244 0.2500 0.6250
0.6756 0.7500 0.6250
0.7500 0.1756 0.8750
0.7500 0.3244 0.3750
0.8244 0.7500 0.1250
0.0000 0.0000 0.5000
0.0000 0.5000 0.7500
0.5000 0.0000 0.2500
0.5000 0.5000 0.0000
0.0000 0.0000 0.0000
0.0000 0.5000 0.2500
0.5000 0.0000 0.7500
0.5000 0.5000 0.5000
```



Most stable structure: (b)